# Hg2AuCl

A geometry-optimized Hg2AuCl structure (PBE, the Alexandria database).

Unit cell a=3.1549 b=3.5603 c=7.9767 alpha=90.00 beta=90.00 gamma=90.00
Element x y z (fractional)
Hg 0.0000 0.0000 0.0158
Cl 0.5000 0.5000 0.7500
Au 0.5000 0.5000 0.2500
Hg 0.0000 0.0000 0.4842

Uncorrected formation energy ... 0.00 eV/atom
ΔE to the lowest computed polymorph ... 129 meV per atom
Density ... 11.7 g/cm3
N(E_F) ... 1.34 states/eV per cell